Entry 1:
The following is a DFT calculation (PBE) of a geometry-optimized SrNiOs2 structure.

The structure in CIF format:
```
data_SrNiOs2
_cell_length_a 6.490
_cell_length_b 6.490
_cell_length_c 6.490
_cell_angle_alpha 90.00
_cell_angle_beta 90.00
_cell_angle_gamma 90.00
_space_group_name_H-M_alt 'F m -3 m'
_space_group_IT_number 225
_space_group_name_Hall '-F 4 2 3'
loop_
_atom_site_label
_atom_site_type_symbol
_atom_site_fract_x
_atom_site_fract_y
_atom_site_fract_z
Sr1 Sr 0.000 0.000 0.000
Ni1 Ni 0.000 0.000 0.500
Os1 Os 0.250 0.250 0.250
```

Values from the calculation:
* VASP energy: -6.07 eV per atom
* crystal system: cubic

Entry 2:
The following is a DFT calculation (PBE) of a geometry-optimized SrNiOs2 structure.

The structure in CIF format:
```
data_SrNiOs2
_cell_length_a 2.831
_cell_length_b 3.625
_cell_length_c 7.105
_cell_angle_alpha 90.00
_cell_angle_beta 90.00
_cell_angle_gamma 90.00
_space_group_name_H-M_alt 'P m m 2'
_space_group_IT_number 25
loop_
_space_group_symop_operation_xyz
'x,y,z'
'-x,-y,z'
'-x,y,z'
'x,-y,z'
loop_
_atom_site_label
_atom_site_type_symbol
_atom_site_fract_x
_atom_site_fract_y
_atom_site_fract_z
Sr1 Sr 0.000 0.000 0.000
Ni1 Ni 0.500 0.500 0.302
Os1 Os 0.000 0.000 0.494
Os2 Os 0.500 0.500 0.659
```

Values from the calculation:
* VASP energy: -7.01 eV per atom
* crystal system: orthorhombic

Entry 3:
The following is a DFT calculation (PBE) of a geometry-optimized Sr2NiOs structure.

The structure in CIF format:
```
data_Sr2NiOs
_cell_length_a 4.858
_cell_length_b 4.866
_cell_length_c 8.818
_cell_angle_alpha 90.00
_cell_angle_beta 90.00
_cell_angle_gamma 90.00
_space_group_name_H-M_alt 'C m m 2'
_space_group_IT_number 35
loop_
_space_group_symop_operation_xyz
'x,y,z'
'-x,-y,z'
'-x,y,z'
'x,-y,z'
'x+1/2,y+1/2,z'
'-x+1/2,-y+1/2,z'
'-x+1/2,y+1/2,z'
'x+1/2,-y+1/2,z'
loop_
_atom_site_label
_atom_site_type_symbol
_atom_site_fract_x
_atom_site_fract_y
_atom_site_fract_z
Sr1 Sr 0.000 0.000 0.000
Sr2 Sr 0.000 0.500 0.422
Ni1 Ni 0.000 0.000 0.672
Os1 Os 0.000 0.500 0.749
```

Values from the calculation:
* VASP energy: -4.63 eV per atom
* crystal system: orthorhombic

Entry 4:
The following is a DFT calculation (PBE) of a geometry-optimized SrNiOs2 structure.

The structure in CIF format:
```
data_SrNiOs2
_cell_length_a 2.763
_cell_length_b 4.591
_cell_length_c 10.496
_cell_angle_alpha 90.00
_cell_angle_beta 90.00
_cell_angle_gamma 90.00
_space_group_name_H-M_alt 'I m m m'
_space_group_IT_number 71
_space_group_name_Hall '-I 2 2'
loop_
_atom_site_label
_atom_site_type_symbol
_atom_site_fract_x
_atom_site_fract_y
_atom_site_fract_z
Sr1 Sr 0.000 0.000 0.000
Ni1 Ni 0.000 0.000 0.500
Os1 Os 0.000 0.500 0.216
```

Values from the calculation:
* VASP energy: -6.91 eV per atom
* crystal system: orthorhombic

| no. | ΔE_f (kJ/mol of atoms) | ρ (g/cm³) |
| --- | --- | --- |
| 1 | 136 | 12.8 |
| 2 | 45 | 12.0 |
| 3 | 45 | 6.8 |
| 4 | 55 | 13.1 |